VASP calculation (PBE-GGA) on crystalline Ac3SiCl2 at its relaxed geometry.

Cell: 7.7541 7.7541 7.6291 Å, 99.84 99.84 120.28°
Last column: nearest neighbours and their distance in Å.
Sites, in units of the cell vectors:
Ac: 0.0822 0.4226 0.7671  2 Si 3.06, 4 Cl 3.08-3.24
Ac: 0.2405 0.2405 0.2390  2 Si 3.06, 4 Cl 3.14-3.30
Ac: 0.4226 0.0822 0.7671  2 Si 3.06, 4 Cl 3.08-3.24
Ac: 0.5774 0.9178 0.2329  2 Si 3.06, 4 Cl 3.08-3.24
Ac: 0.7595 0.7595 0.7610  2 Si 3.06, 4 Cl 3.14-3.30
Ac: 0.9178 0.5774 0.2329  2 Si 3.06, 4 Cl 3.08-3.24
Si: 0.1652 0.8348 0.0000  6 Ac 3.06
Si: 0.8348 0.1652 0.0000  6 Ac 3.06
Cl: 0.0000 0.0000 0.5000  6 Ac 3.15-3.23
Cl: 0.3235 0.6765 0.5000  6 Ac 3.08-3.30
Cl: 0.5000 0.5000 0.0000  6 Ac 3.12-3.14
Cl: 0.6765 0.3235 0.5000  6 Ac 3.08-3.30

Offset from the most stable computed form   0 meV/atom
ΔE_f (raw)   -1.25 eV/atom
Fermi-level density of states   6.90 states/eV per cell